Below is an optimized crystal structure of ScH2W, with properties calculated at the PBE-GGA level.

abc: 3.906 3.906 3.906
angles: 60.00 60.00 60.00
Atoms (fractional coordinates):
Sc1 0.000 0.000 0.000
H1 0.250 0.250 0.250
H2 0.750 0.750 0.750
W1 0.500 0.500 0.500

DOS(E_F) = 0.31 states/eV per atom
distance to the lowest polymorph of the same formula = 701 meV per atom
crystal system = cubic
E = -5.89 eV/atom

---

Below is an optimized crystal structure of YInSe, with properties calculated at the PBE-GGA level.

abc: 5.020 5.020 5.020
angles: 60.00 60.00 60.00
Atoms (fractional coordinates):
Se1 0.500 0.500 0.500
In1 0.000 0.000 0.000
Y1 0.750 0.750 0.750

DOS(E_F) = 1.21 states/eV per atom
distance to the lowest polymorph of the same formula = 596 meV per atom
crystal system = cubic
energy relative to the elements, uncorrected = -395.5 meV/atom
E = -4.62 eV/atom

---

Below is an optimized crystal structure of Ca2YCd, with properties calculated at the PBE-GGA level.

abc: 9.077 9.077 7.237
angles: 51.16 51.16 90.00
Atoms (fractional coordinates):
Ca1 0.875 0.923 0.750
Ca2 0.673 0.125 0.250
Ca3 0.375 0.327 0.750
Ca4 0.077 0.625 0.250
Cd1 0.750 0.250 0.500
Cd2 0.000 0.000 0.000
Y1 0.250 0.750 0.500
Y2 0.500 0.500 0.000

energy relative to the elements = 131.7 meV/atom
DOS(E_F) = 1.60 states/eV per atom
crystal system = tetragonal
E = -2.71 eV/atom

---

Below is an optimized crystal structure of Pu2SNO, with properties calculated at the PBE-GGA level.

abc: 3.820 6.680 7.478
angles: 80.74 75.20 73.38
Atoms (fractional coordinates):
Pu1 0.169 0.740 0.923
Pu2 0.426 0.816 0.332
Pu3 0.574 0.184 0.668
Pu4 0.831 0.260 0.077
O1 0.644 0.628 0.085
O2 0.356 0.372 0.915
N1 0.950 0.914 0.185
N2 0.050 0.086 0.815
S1 0.813 0.748 0.626
S2 0.187 0.252 0.374

DOS(E_F) = 1.95 states/eV per atom
crystal system = monoclinic
energy relative to the elements, uncorrected = -2060.8 meV/atom
E = -11.28 eV/atom